No. 1
The following is a PBE calculation of ZnCo2Pd2 after structural relaxation, from Alexandria.

a = 7.284 Å, b = 7.284 Å, c = 2.727 Å
α = 90.00°, β = 90.00°, γ = 90.00°
Space group P4/mbm (No. 127)
Inequivalent atoms, fractional coordinates:
Zn (0.000, 0.000, 0.000) (multiplicity 2)
Co (0.166, 0.334, 0.500) (multiplicity 4)
Pd (0.133, 0.633, 0.000) (multiplicity 4)

Calculated values
- energy above the most stable polymorph in this dataset (eV/atom) = 0.063
- DFT formation energy (eV/atom) = 0.19

No. 2
The following is a PBE calculation of AcGaSbAu after structural relaxation, from Alexandria.

a = 7.481 Å, b = 7.481 Å, c = 7.481 Å
α = 90.00°, β = 90.00°, γ = 90.00°
Space group F-43m (No. 216)
Inequivalent atoms, fractional coordinates:
Ac (0.000, 0.000, 0.000) (multiplicity 4)
Ga (0.250, 0.250, 0.750) (multiplicity 4)
Sb (0.000, 0.000, 0.500) (multiplicity 4)
Au (0.250, 0.250, 0.250) (multiplicity 4)

Calculated values
- energy relative to the elements, uncorrected (eV/atom) = -0.49

No. 3
The following is a PBE calculation of TaWBr2 after structural relaxation, from Alexandria.

a = 3.510 Å, b = 3.088 Å, c = 9.243 Å
α = 90.00°, β = 90.10°, γ = 90.00°
Space group Pm (No. 6)
Inequivalent atoms, fractional coordinates:
Ta (0.000, 0.000, 0.000) (multiplicity 1)
W (0.502, 0.500, 0.166) (multiplicity 1)
Br (0.503, 0.000, 0.389) (multiplicity 1)
Br (0.999, 0.500, 0.769) (multiplicity 1)

Calculated values
- energy above the most stable polymorph in this dataset (eV/atom) = 0.000
- energy relative to the elements, uncorrected (eV/atom) = -0.06

No. 4
The following is a PBE calculation of CaP2 after structural relaxation, from Alexandria.

a = 3.972 Å, b = 3.972 Å, c = 15.594 Å
α = 90.00°, β = 90.00°, γ = 90.00°
Space group I4_1/amd (No. 141, origin choice 2)
Inequivalent atoms, fractional coordinates:
Ca (0.000, 0.250, 0.375) (multiplicity 4)
P (0.000, 0.250, 0.785) (multiplicity 8)

Calculated values
- DFT formation energy (eV/atom) = -0.55

No. 5
The following is a PBE calculation of PPbCl2 after structural relaxation, from Alexandria.

a = 6.500 Å, b = 8.919 Å, c = 4.788 Å
α = 90.00°, β = 132.60°, γ = 90.00°
Space group C2/m (No. 12)
Inequivalent atoms, fractional coordinates:
P (0.000, 0.000, 0.000) (multiplicity 2)
Pb (0.000, 0.500, 0.000) (multiplicity 2)
Cl (0.250, 0.250, 0.500) (multiplicity 4)

Calculated values
- energy above the most stable polymorph in this dataset (eV/atom) = 0.314
- energy relative to the elements, uncorrected (eV/atom) = -0.07

No. 6
The following is a PBE calculation of GaAu after structural relaxation, from Alexandria.

a = 5.894 Å, b = 5.894 Å, c = 5.894 Å
α = 90.00°, β = 90.00°, γ = 90.00°
Space group F-43m (No. 216)
Inequivalent atoms, fractional coordinates:
Ga (0.000, 0.000, 0.000) (multiplicity 4)
Au (0.250, 0.250, 0.750) (multiplicity 4)

Calculated values
- DFT formation energy (eV/atom) = 0.00

no.,ρ (g cm⁻³)
1,9.1
2,9.8
3,8.7
4,2.8
5,5.0
6,8.6